Entry 1:
Density functional theory data (PBE) for a relaxed structure of Y2TiO.

Cell lengths 8.8399, 8.8399, 8.8399 Å; angles 21.84, 21.84, 21.84 degrees
With the nearest neighbours (Å) after each atom.
Positions (direct):
Y  0.1126  0.1126  0.1126  3 O 2.39
Y  0.8874  0.8874  0.8874  3 O 2.39
Ti  0.0000  0.0000  0.0000  2 Y 2.91
O  0.5000  0.5000  0.5000  6 Y 2.39

Results
The energy is -7.42 eV/atom. The crystal system is trigonal.

Entry 2:
Density functional theory data (PBE) for a relaxed structure of YTi3O.

Cell lengths 4.3426, 4.3426, 4.3426 Å; angles 90.00, 90.00, 90.00 degrees
With the nearest neighbours (Å) after each atom.
Positions (direct):
Y  0.0000  0.0000  0.0000  12 Ti 3.07
Ti  0.0000  0.5000  0.5000  2 O 2.17
Ti  0.5000  0.0000  0.5000  2 O 2.17
Ti  0.5000  0.5000  0.0000  2 O 2.17
O  0.5000  0.5000  0.5000  6 Ti 2.17

Results
The energy is -7.86 eV/atom. The crystal system is cubic.

Entry 3:
Density functional theory data (PBE) for a relaxed structure of Y2Ti3O9.

Cell lengths 16.5704, 7.6845, 5.3033 Å; angles 90.00, 90.00, 90.00 degrees
With the nearest neighbours (Å) after each atom.
Positions (direct):
Y  0.0175  0.2500  0.0096  8 O 2.28-2.51
Y  0.1867  0.2500  0.4831  6 O 2.25-2.45
Y  0.3133  0.7500  0.9831  6 O 2.25-2.45
Y  0.4825  0.7500  0.5096  8 O 2.28-2.51
Y  0.5175  0.2500  0.4904  8 O 2.28-2.51
Y  0.6867  0.2500  0.0169  6 O 2.25-2.45
Y  0.8133  0.7500  0.5169  6 O 2.25-2.45
Y  0.9825  0.7500  0.9904  8 O 2.28-2.51
Ti  0.0000  0.0000  0.5000  6 O 1.97-2.00
Ti  0.0000  0.5000  0.5000  6 O 1.97-2.00
Ti  0.1657  0.5077  0.9962  6 O 1.89-2.06
Ti  0.1657  0.9923  0.9962  6 O 1.89-2.06
Ti  0.3343  0.0077  0.4962  6 O 1.89-2.06
Ti  0.3343  0.4923  0.4962  6 O 1.89-2.06
Ti  0.5000  0.0000  0.0000  6 O 1.97-2.00
Ti  0.5000  0.5000  0.0000  6 O 1.97-2.00
Ti  0.6657  0.5077  0.5038  6 O 1.89-2.06
Ti  0.6657  0.9923  0.5038  6 O 1.89-2.06
Ti  0.8343  0.0077  0.0038  6 O 1.89-2.06
Ti  0.8343  0.4923  0.0038  6 O 1.89-2.06
O  0.0082  0.7500  0.4126  2 Ti 1.98
O  0.0619  0.5314  0.8143  2 Ti 1.97-1.98
O  0.0619  0.9686  0.8143  2 Ti 1.97-1.98
O  0.0961  0.0665  0.2923  2 Ti 2.00-2.03
O  0.0961  0.4335  0.2923  2 Ti 2.00-2.03
O  0.1544  0.2500  0.8952  2 Ti 2.06, 1 Y 2.25
O  0.1701  0.7500  0.0592  2 Ti 1.89
O  0.2426  0.5322  0.7293  2 Ti 1.91-1.98
O  0.2426  0.9678  0.7293  2 Ti 1.91-1.98
O  0.2574  0.0322  0.2293  2 Ti 1.91-1.98
O  0.2574  0.4678  0.2293  2 Ti 1.91-1.98
O  0.3299  0.2500  0.5592  2 Ti 1.89
O  0.3456  0.7500  0.3952  2 Ti 2.06, 1 Y 2.25
O  0.4039  0.5665  0.7923  2 Ti 2.00-2.03
O  0.4039  0.9335  0.7923  2 Ti 2.00-2.03
O  0.4381  0.0314  0.3143  2 Ti 1.97-1.98
O  0.4381  0.4686  0.3143  2 Ti 1.97-1.98
O  0.4918  0.2500  0.9126  2 Ti 1.98
O  0.5082  0.7500  0.0874  2 Ti 1.98
O  0.5619  0.5314  0.6857  2 Ti 1.97-1.98
O  0.5619  0.9686  0.6857  2 Ti 1.97-1.98
O  0.5961  0.0665  0.2077  2 Ti 2.00-2.03
O  0.5961  0.4335  0.2077  2 Ti 2.00-2.03
O  0.6544  0.2500  0.6048  2 Ti 2.06, 1 Y 2.25
O  0.6701  0.7500  0.4408  2 Ti 1.89
O  0.7426  0.5322  0.7707  2 Ti 1.91-1.98
O  0.7426  0.9678  0.7707  2 Ti 1.91-1.98
O  0.7574  0.0322  0.2707  2 Ti 1.91-1.98
O  0.7574  0.4678  0.2707  2 Ti 1.91-1.98
O  0.8299  0.2500  0.9408  2 Ti 1.89
O  0.8456  0.7500  0.1048  2 Ti 2.06, 1 Y 2.25
O  0.9039  0.5665  0.7077  2 Ti 2.00-2.03
O  0.9039  0.9335  0.7077  2 Ti 2.00-2.03
O  0.9381  0.0314  0.1857  2 Ti 1.97-1.98
O  0.9381  0.4686  0.1857  2 Ti 1.97-1.98
O  0.9918  0.2500  0.5874  2 Ti 1.98

Results
The energy is -9.02 eV/atom. The crystal system is orthorhombic.

Entry 4:
Density functional theory data (PBE) for a relaxed structure of YTi2ZnO.

Cell lengths 4.1697, 4.1697, 4.6827 Å; angles 90.00, 90.00, 90.00 degrees
With the nearest neighbours (Å) after each atom.
Positions (direct):
Y  0.0000  0.0000  0.0000  2 O 2.34
Ti  0.0000  0.5000  0.5000  2 O 2.08
Ti  0.5000  0.0000  0.5000  2 O 2.08
Zn  0.5000  0.5000  0.0000  4 Y 2.95, 8 Ti 3.14
O  0.0000  0.0000  0.5000  4 Ti 2.08

Results
The energy is -6.79 eV/atom. The crystal system is tetragonal.

Entry 5:
Density functional theory data (PBE) for a relaxed structure of Y2ZrTiO.

Cell lengths 4.7741, 4.7741, 4.5287 Å; angles 90.00, 90.00, 90.00 degrees
With the nearest neighbours (Å) after each atom.
Positions (direct):
Y  0.0000  0.5000  0.0000  2 O 2.39
Y  0.5000  0.0000  0.0000  2 O 2.39
Zr  0.0000  0.0000  0.5000  2 O 2.26
Ti  0.5000  0.5000  0.5000  8 Y 3.29, 4 Zr 3.38
O  0.0000  0.0000  0.0000  2 Zr 2.26, 4 Y 2.39

Results
The energy is -7.86 eV/atom. The crystal system is tetragonal.

Entry 6:
Density functional theory data (PBE) for a relaxed structure of YZr2TiO.

Cell lengths 4.5280, 4.5280, 4.7178 Å; angles 90.00, 90.00, 90.00 degrees
With the nearest neighbours (Å) after each atom.
Positions (direct):
Y  0.0000  0.0000  0.0000  2 O 2.36
Zr  0.0000  0.5000  0.5000  2 O 2.26
Zr  0.5000  0.0000  0.5000  2 O 2.26
Ti  0.5000  0.5000  0.0000  4 Y 3.20, 8 Zr 3.27
O  0.0000  0.0000  0.5000  4 Zr 2.26, 2 Y 2.36

Results
The energy is -8.28 eV/atom. The crystal system is tetragonal.

Entry 7:
Density functional theory data (PBE) for a relaxed structure of Y2ZrTiO.

Cell lengths 4.9343, 4.9343, 4.1459 Å; angles 90.00, 90.00, 90.00 degrees
With the nearest neighbours (Å) after each atom.
Positions (direct):
Y  0.0000  0.5000  0.0000  2 O 2.47
Y  0.5000  0.0000  0.0000  2 O 2.47
Zr  0.0000  0.0000  0.5000  8 Y 3.22, 4 Ti 3.49
Ti  0.5000  0.5000  0.5000  2 O 2.07
O  0.5000  0.5000  0.0000  2 Ti 2.07

Results
The energy is -7.86 eV/atom. The crystal system is tetragonal.

Entry 8:
Density functional theory data (PBE) for a relaxed structure of YbTiO3.

Cell lengths 5.9017, 5.9017, 5.9017 Å; angles 54.08, 54.08, 54.08 degrees
With the nearest neighbours (Å) after each atom.
Positions (direct):
Yb  0.1363  0.1363  0.1363  6 O 2.28-2.44
Yb  0.8637  0.8637  0.8637  6 O 2.28-2.44
Ti  0.3495  0.3495  0.3495  6 O 1.93-2.12
Ti  0.6505  0.6505  0.6505  6 O 1.93-2.12
O  0.0644  0.4713  0.6914  2 Ti 1.93-2.12
O  0.3086  0.9356  0.5287  2 Ti 1.93-2.12
O  0.4713  0.6914  0.0644  2 Ti 1.93-2.12
O  0.5287  0.3086  0.9356  2 Ti 1.93-2.12
O  0.6914  0.0644  0.4713  2 Ti 1.93-2.12
O  0.9356  0.5287  0.3086  2 Ti 1.93-2.12

Results
The energy is -7.95 eV/atom. The crystal system is trigonal.

Entry 9:
Density functional theory data (PBE) for a relaxed structure of Yb3Ti3O14.

Cell lengths 7.3935, 7.3935, 7.9150 Å; angles 120.20, 120.20, 59.33 degrees
With the nearest neighbours (Å) after each atom.
Positions (direct):
Yb  0.0000  0.0000  0.0000  2 O 2.15
Yb  0.0000  0.5000  0.5000  6 O 2.24-2.35
Yb  0.5000  0.0000  0.5000  6 O 2.24-2.35
Ti  0.0000  0.5000  0.0000  6 O 1.92-1.96
Ti  0.5000  0.0000  0.0000  6 O 1.92-1.96
Ti  0.5000  0.5000  0.0000  6 O 1.93-1.96
O  0.0717  0.5544  0.2877  1 Ti 1.93
O  0.1350  0.1350  0.3319  3 Yb 2.15-2.24
O  0.1972  0.1972  0.9774  2 Ti 1.92
O  0.2084  0.6091  0.0264  2 Ti 1.96
O  0.3765  0.3765  0.7024  1 Ti 1.93
O  0.3909  0.7916  0.9736  2 Ti 1.96
O  0.4456  0.9283  0.7123  1 Ti 1.93
O  0.5544  0.0717  0.2877  1 Ti 1.93
O  0.6091  0.2084  0.0264  2 Ti 1.96
O  0.6235  0.6235  0.2976  1 Ti 1.93
O  0.7916  0.3909  0.9736  2 Ti 1.96
O  0.8028  0.8028  0.0226  2 Ti 1.92
O  0.8650  0.8650  0.6681  3 Yb 2.15-2.24
O  0.9283  0.4456  0.7123  1 Ti 1.93

Results
The energy is -6.88 eV/atom. The crystal system is monoclinic.

Entry 10:
Density functional theory data (PBE) for a relaxed structure of YbTiO3.

Cell lengths 3.8959, 3.8959, 3.8959 Å; angles 90.00, 90.00, 90.00 degrees
With the nearest neighbours (Å) after each atom.
Positions (direct):
Yb  0.0000  0.0000  0.0000  12 O 2.75
Ti  0.5000  0.5000  0.5000  6 O 1.95
O  0.0000  0.5000  0.5000  2 Ti 1.95
O  0.5000  0.0000  0.5000  2 Ti 1.95
O  0.5000  0.5000  0.0000  2 Ti 1.95

Results
The energy is -7.92 eV/atom. The crystal system is cubic.

no.,ΔE_f (raw) (meV/atom)
1,-974.8
2,-841.7
3,-3213.5
4,-1095.9
5,-993.0
6,-997.7
7,-996.7
8,-3090.9
9,-1995.6
10,-3062.7